YTlTe3: relaxed, PBE-GGA.

Unit cell a=5.9000 b=5.9000 c=5.9000 alpha=90.00 beta=90.00 gamma=90.00
Closest atoms and distances in Å follow each position.
Fractional positions:
Y (0.0000, 0.0000, 0.0000)  6 Te 2.95
Tl (0.5000, 0.5000, 0.5000)  12 Te 4.17
Te (0.0000, 0.5000, 0.0000)  2 Y 2.95
Te (0.0000, 0.0000, 0.5000)  2 Y 2.95
Te (0.5000, 0.0000, 0.0000)  2 Y 2.95

The value obtained for the calculated density is 5.47 Mg/m³. The value obtained for the uncorrected formation energy is -0.4751 eV/atom. As for the space group: Pm-3m. For the density of states at the Fermi level, the calculation gives 8.44 states/eV per cell. The energy above the lowest structure with this stoichiometry comes out at 0 meV per atom. Its size of the total moment is 0.000 μB/f.u.